[1]
An optimized crystal structure of TeMoSe. Source: the Alexandria database, functional PBE-GGA.

Calculated values
Formation energy from raw total energies ... -0.89 eV/f.u.
Space-group type ... P2_1/c, No. 14
ρ ... 6.88 g/cm3
Energy relative to the lowest polymorph listed for this composition ... 158.4 meV per atom

a = 5.9122 Å, b = 6.8338 Å, c = 7.5612 Å
α = 90.00°, β = 107.00°, γ = 90.00°
Closest atoms and distances in Å follow each position.
Atoms (fractional coordinates):
Se: 0.5105 0.1147 0.7223  3 Mo 2.50-2.65
Se: 0.0105 0.3853 0.7223  3 Mo 2.50-2.65
Se: 0.4895 0.8853 0.2777  3 Mo 2.50-2.65
Se: 0.9895 0.6147 0.2777  3 Mo 2.50-2.65
Mo: 0.2765 0.3636 0.5015  3 Se 2.50-2.65, 3 Te 2.70-2.79
Mo: 0.7235 0.6364 0.4985  3 Se 2.50-2.65, 3 Te 2.70-2.79
Mo: 0.7765 0.1364 0.5015  3 Se 2.50-2.65, 3 Te 2.70-2.79
Mo: 0.2235 0.8636 0.4985  3 Se 2.50-2.65, 3 Te 2.70-2.79
Te: 0.9890 0.1212 0.2313  3 Mo 2.70-2.79
Te: 0.0110 0.8788 0.7687  3 Mo 2.70-2.79
Te: 0.4890 0.3788 0.2313  3 Mo 2.70-2.79
Te: 0.5110 0.6212 0.7687  3 Mo 2.70-2.79

---

[2]
An optimized crystal structure of TeMo2Se. Source: the Alexandria database, functional PBE-GGA.

Calculated values
Formation energy from raw total energies ... 2.67 eV/f.u.
Space-group type ... Immm, No. 71
ρ ... 8.89 g/cm3
Energy relative to the lowest polymorph listed for this composition ... 813.0 meV per atom

a = 5.2833 Å, b = 5.2833 Å, c = 5.2833 Å
α = 144.11°, β = 118.76°, γ = 73.06°
Closest atoms and distances in Å follow each position.
Atoms (fractional coordinates):
Mo: 0.5251 0.5251 0.0000  2 Se 2.51
Mo: 0.9749 0.9749 0.0000  2 Se 2.51
Se: 0.7500 0.2500 0.5000  4 Mo 2.51
Te: 0.2500 0.7500 0.5000  4 Mo 2.85, 4 Se 3.14

---

[3]
An optimized crystal structure of Te2Mo4Se3. Source: the Alexandria database, functional PBE-GGA.

Calculated values
Formation energy from raw total energies ... -1.82 eV/f.u.
Space-group type ... C2/c, No. 15
ρ ... 6.09 g/cm3

a = 6.0293 Å, b = 9.4139 Å, c = 9.4139 Å
α = 115.27°, β = 94.60°, γ = 94.60°
Closest atoms and distances in Å follow each position.
Atoms (fractional coordinates):
Te: 0.1104 0.1763 0.4570  3 Mo 2.72-2.82
Te: 0.8896 0.8237 0.5430  3 Mo 2.72-2.82
Te: 0.3896 0.5430 0.8237  3 Mo 2.72-2.82
Te: 0.6104 0.4570 0.1763  3 Mo 2.72-2.82
Mo: 0.1414 0.0714 0.1424  3 Se 2.47-2.70, 2 Mo 2.68-2.72, 1 Te 2.72
Mo: 0.3586 0.8576 0.9286  3 Se 2.47-2.70, 2 Mo 2.68-2.72, 1 Te 2.72
Mo: 0.5448 0.6900 0.6505  3 Se 2.45-2.73, 1 Te 2.72, 1 Mo 2.72
Mo: 0.9552 0.3495 0.3100  3 Se 2.45-2.73, 1 Te 2.72, 1 Mo 2.72
Mo: 0.8586 0.9286 0.8576  3 Se 2.47-2.70, 2 Mo 2.68-2.72, 1 Te 2.72
Mo: 0.0448 0.6505 0.6900  3 Se 2.45-2.73, 1 Te 2.72, 1 Mo 2.72
Mo: 0.4552 0.3100 0.3495  3 Se 2.45-2.73, 1 Te 2.72, 1 Mo 2.72
Mo: 0.6414 0.1424 0.0714  3 Se 2.47-2.70, 2 Mo 2.68-2.72, 1 Te 2.72
Se: 0.0281 0.2373 0.0110  4 Mo 2.47-2.70
Se: 0.7500 0.4238 0.5762  4 Mo 2.45-2.73
Se: 0.4719 0.9890 0.7627  4 Mo 2.47-2.70
Se: 0.9719 0.7627 0.9890  4 Mo 2.47-2.70
Se: 0.2500 0.5762 0.4238  4 Mo 2.45-2.73
Se: 0.5281 0.0110 0.2373  4 Mo 2.47-2.70

---

[4]
An optimized crystal structure of TeMoSe2. Source: the Alexandria database, functional PBE-GGA.

Calculated values
Formation energy from raw total energies ... 2.15 eV/f.u.
Space-group type ... I-4m2, No. 119
ρ ... 8.11 g/cm3

a = 5.0213 Å, b = 5.0213 Å, c = 5.0213 Å
α = 127.08°, β = 127.08°, γ = 78.12°
Closest atoms and distances in Å follow each position.
Atoms (fractional coordinates):
Te: 0.5000 0.5000 0.0000  4 Mo 2.97, 8 Se 2.97-3.16
Se: 0.2500 0.7500 0.5000  4 Te 2.97, 4 Se 2.97, 4 Mo 3.16
Se: 0.0000 0.0000 0.0000  4 Se 2.97, 4 Mo 2.97, 4 Te 3.16
Mo: 0.7500 0.2500 0.5000  4 Te 2.97, 8 Se 2.97-3.16

---

[5]
An optimized crystal structure of TeMo2Se. Source: the Alexandria database, functional PBE-GGA.

Calculated values
Formation energy from raw total energies ... 0.41 eV/f.u.
Space-group type ... Cm, No. 8
ρ ... 8.73 g/cm3
Energy relative to the lowest polymorph listed for this composition ... 246.8 meV per atom

a = 4.6974 Å, b = 4.6974 Å, c = 5.4217 Å
α = 75.89°, β = 75.89°, γ = 41.00°
Closest atoms and distances in Å follow each position.
Atoms (fractional coordinates):
Se: 0.4797 0.4797 0.6547  5 Mo 2.46-2.55
Mo: 0.7632 0.7632 0.6275  3 Se 2.46-2.55
Mo: 0.0053 0.0053 0.9978  2 Se 2.54, 3 Te 2.74-2.78
Te: 0.2518 0.2518 0.2200  5 Mo 2.74-2.78

---

[6]
An optimized crystal structure of TeMoSe. Source: the Alexandria database, functional PBE-GGA.

Calculated values
Formation energy from raw total energies ... 2.86 eV/f.u.
Space-group type ... F-43m, No. 216
ρ ... 7.16 g/cm3
Energy relative to the lowest polymorph listed for this composition ... 1407.1 meV per atom

a = 4.6290 Å, b = 4.6290 Å, c = 4.6290 Å
α = 60.00°, β = 60.00°, γ = 60.00°
Closest atoms and distances in Å follow each position.
Atoms (fractional coordinates):
Mo: 0.5000 0.5000 0.5000  4 Se 2.83
Te: 0.0000 0.0000 0.0000  4 Se 2.83
Se: 0.7500 0.7500 0.7500  4 Te 2.83, 4 Mo 2.83

---

[7]
An optimized crystal structure of Te2MoSe. Source: the Alexandria database, functional PBE-GGA.

Calculated values
Formation energy from raw total energies ... 2.67 eV/f.u.
Space-group type ... P4/mmm, No. 123
ρ ... 8.06 g/cm3

a = 5.1256 Å, b = 5.1256 Å, c = 3.3732 Å
α = 90.00°, β = 90.00°, γ = 89.95°
Closest atoms and distances in Å follow each position.
Atoms (fractional coordinates):
Se: 0.0000 0.5000 0.5000  8 Te 3.07, 2 Se 3.37
Te: 0.5000 0.5000 0.0000  4 Se 3.07, 4 Mo 3.07, 2 Te 3.37
Te: 0.0000 0.0000 0.0000  4 Mo 3.07, 4 Se 3.07, 2 Te 3.37
Mo: 0.5000 0.0000 0.5000  8 Te 3.07, 2 Mo 3.37

---

[8]
An optimized crystal structure of Te2MoSe. Source: the Alexandria database, functional PBE-GGA.

Calculated values
Formation energy from raw total energies ... 0.79 eV/f.u.
Space-group type ... R-3m, No. 166
ρ ... 6.85 g/cm3

a = 9.1920 Å, b = 9.1920 Å, c = 9.1920 Å
α = 23.02°, β = 23.02°, γ = 23.02°
Closest atoms and distances in Å follow each position.
Atoms (fractional coordinates):
Se: 0.0000 0.0000 0.0000  2 Te 2.71
Te: 0.8991 0.8991 0.8991  1 Se 2.71, 3 Mo 2.76
Te: 0.1009 0.1009 0.1009  1 Se 2.71, 3 Mo 2.76
Mo: 0.5000 0.5000 0.5000  6 Te 2.76

---

[9]
An optimized crystal structure of TeMo3Se. Source: the Alexandria database, functional PBE-GGA.

Calculated values
Formation energy from raw total energies ... 9.67 eV/f.u.
Space-group type ... Pm-3m, No. 221
ρ ... 6.89 g/cm3
Energy relative to the lowest polymorph listed for this composition ... 828.2 meV per atom

a = 4.9205 Å, b = 4.9205 Å, c = 4.9205 Å
α = 90.00°, β = 90.00°, γ = 90.00°
Closest atoms and distances in Å follow each position.
Atoms (fractional coordinates):
Mo: 0.0000 0.0000 0.5000  2 Te 2.46
Mo: 0.5000 0.0000 0.0000  2 Te 2.46
Mo: 0.0000 0.5000 0.0000  2 Te 2.46
Se: 0.5000 0.5000 0.5000  12 Mo 3.48
Te: 0.0000 0.0000 0.0000  6 Mo 2.46

---

[10]
An optimized crystal structure of TeMo2Se. Source: the Alexandria database, functional PBE-GGA.

Calculated values
Formation energy from raw total energies ... 1.71 eV/f.u.
Space-group type ... I-42d, No. 122
ρ ... 7.75 g/cm3
Energy relative to the lowest polymorph listed for this composition ... 572.2 meV per atom

a = 4.5798 Å, b = 4.5798 Å, c = 8.7653 Å
α = 74.86°, β = 74.86°, γ = 90.00°
Closest atoms and distances in Å follow each position.
Atoms (fractional coordinates):
Mo: 0.8750 0.8082 0.7500  2 Se 2.48, 2 Te 2.75
Mo: 0.5582 0.1250 0.2500  2 Se 2.48, 2 Te 2.75
Mo: 0.3750 0.4418 0.7500  2 Se 2.48, 2 Te 2.75
Mo: 0.1918 0.6250 0.2500  2 Se 2.48, 2 Te 2.75
Te: 0.7500 0.2500 0.5000  4 Mo 2.75
Te: 0.0000 0.0000 0.0000  4 Mo 2.75
Se: 0.5000 0.5000 0.0000  4 Mo 2.48
Se: 0.2500 0.7500 0.5000  4 Mo 2.48

---

[11]
An optimized crystal structure of Te2MoSe. Source: the Alexandria database, functional PBE-GGA.

Calculated values
Formation energy from raw total energies ... 2.71 eV/f.u.
Space-group type ... Pmmm, No. 47
ρ ... 8.19 g/cm3

a = 3.4194 Å, b = 5.1110 Å, c = 4.9914 Å
α = 90.00°, β = 90.00°, γ = 90.00°
Closest atoms and distances in Å follow each position.
Atoms (fractional coordinates):
Mo: 0.5000 0.0000 0.5000  4 Te 3.03, 4 Se 3.07
Te: 0.0000 0.0000 0.0000  4 Mo 3.03, 4 Te 3.07
Te: 0.5000 0.5000 0.0000  4 Se 3.03, 4 Te 3.07
Se: 0.0000 0.5000 0.5000  4 Te 3.03, 4 Mo 3.07

---

[12]
An optimized crystal structure of TeMoSe2. Source: the Alexandria database, functional PBE-GGA.

Calculated values
Formation energy from raw total energies ... -0.89 eV/f.u.
Space-group type ... P4/mmm, No. 123
ρ ... 6.33 g/cm3

a = 3.0629 Å, b = 3.0629 Å, c = 10.6623 Å
α = 90.00°, β = 90.00°, γ = 90.00°
Closest atoms and distances in Å follow each position.
Atoms (fractional coordinates):
Te: 0.5000 0.5000 0.2500  4 Te 3.06
Mo: 0.5000 0.5000 0.7500  8 Se 2.67
Se: 0.0000 0.0000 0.8971  4 Mo 2.67
Se: 0.0000 0.0000 0.6029  4 Mo 2.67

---

[13]
An optimized crystal structure of Te2MoSe. Source: the Alexandria database, functional PBE-GGA.

Calculated values
Formation energy from raw total energies ... 0.64 eV/f.u.
Space-group type ... P4/mmm, No. 123
ρ ... 7.42 g/cm3

a = 3.2162 Å, b = 3.2162 Å, c = 9.3104 Å
α = 90.00°, β = 90.00°, γ = 90.00°
Closest atoms and distances in Å follow each position.
Atoms (fractional coordinates):
Se: 0.5000 0.5000 0.7500  4 Se 3.22
Te: 0.0000 0.0000 0.0658  4 Mo 2.85
Te: 0.0000 0.0000 0.4342  4 Mo 2.85
Mo: 0.5000 0.5000 0.2500  8 Te 2.85

---

[14]
An optimized crystal structure of TeMoSe2. Source: the Alexandria database, functional PBE-GGA.

Calculated values
Formation energy from raw total energies ... 1.81 eV/f.u.
Space-group type ... Fmmm, No. 69
ρ ... 6.86 g/cm3

a = 4.9244 Å, b = 4.9381 Å, c = 4.9275 Å
α = 70.36°, β = 70.94°, γ = 109.61°
Closest atoms and distances in Å follow each position.
Atoms (fractional coordinates):
Mo: 0.5000 0.5000 0.0000  4 Se 2.84, 2 Te 2.86
Te: 0.0000 0.5000 0.5000  4 Se 2.84, 2 Mo 2.86
Se: 0.0000 0.0000 0.0000  2 Mo 2.84, 2 Te 2.84, 2 Se 2.86
Se: 0.5000 0.0000 0.5000  2 Te 2.84, 2 Mo 2.84, 2 Se 2.86

---

How do the records compare in electronic total energy? In the order shown, they have -6.11 -6.40 -6.88 -4.70 -6.97 -4.87 -4.48 -4.95 -5.89 -6.64 -4.47 -5.46 -4.99 -4.78 eV per atom.